# 1
# ErCoPO GGA+U optimized geometry
data_ErCoPO
_symmetry_space_group_name_H-M 'P m c 21'
_symmetry_Int_Tables_number 26
_symmetry_space_group_name_Hall 'P 2c -2'
_cell_length_a 4.272
_cell_length_b 3.908
_cell_length_c 6.737
_cell_angle_alpha 90.00
_cell_angle_beta 90.00
_cell_angle_gamma 90.00
loop_
_atom_site_label
_atom_site_type_symbol
_atom_site_fract_x
_atom_site_fract_y
_atom_site_fract_z
_atom_site_occupancy
Er1 Er 0.000 0.238 0.000 1
Co1 Co 0.500 0.260 0.334 1
P1 P 0.500 0.241 0.666 1
O1 O 0.000 0.261 0.334 1
# * crystal system: orthorhombic
# * VASP energy: -6.419 eV per atom

# 2
# Er2CoTe2S2O14 GGA+U optimized geometry
data_Er2CoTe2S2O14
_symmetry_space_group_name_H-M 'P -1'
_symmetry_Int_Tables_number 2
_symmetry_space_group_name_Hall '-P 1'
_cell_length_a 5.202
_cell_length_b 7.696
_cell_length_c 7.969
_cell_angle_alpha 63.83
_cell_angle_beta 72.97
_cell_angle_gamma 85.47
loop_
_atom_site_label
_atom_site_type_symbol
_atom_site_fract_x
_atom_site_fract_y
_atom_site_fract_z
_atom_site_occupancy
Er1 Er 0.073 0.252 0.018 1
Co1 Co 0.000 0.000 0.500 1
Te1 Te 0.494 0.729 0.653 1
S1 S 0.243 0.750 0.252 1
O1 O 0.108 0.585 0.257 1
O2 O 0.134 0.767 0.438 1
O3 O 0.184 0.924 0.085 1
O4 O 0.248 0.560 0.894 1
O5 O 0.260 0.933 0.666 1
O6 O 0.272 0.193 0.245 1
O7 O 0.464 0.273 0.780 1
# * crystal system: triclinic
# * VASP energy: -6.550 eV per atom

# 3
# ErTlCoO3 GGA+U optimized geometry
data_ErTlCoO3
_symmetry_space_group_name_H-M 'C m c m'
_symmetry_Int_Tables_number 63
_symmetry_space_group_name_Hall '-C 2c 2'
_cell_length_a 3.139
_cell_length_b 16.158
_cell_length_c 7.480
_cell_angle_alpha 90.00
_cell_angle_beta 90.00
_cell_angle_gamma 90.00
loop_
_atom_site_label
_atom_site_type_symbol
_atom_site_fract_x
_atom_site_fract_y
_atom_site_fract_z
_atom_site_occupancy
Er1 Er 0.000 0.000 0.000 1
Tl1 Tl 0.000 0.360 0.250 1
Co1 Co 0.000 0.347 0.750 1
O1 O 0.000 0.123 0.084 1
O2 O 0.000 0.234 0.750 1
# * crystal system: orthorhombic
# * VASP energy: -5.501 eV per atom